No. 1
Here is a relaxed PrHoSe crystal from Alexandria via LeMat-Bulk. Energies are from GGA-PBE.

```
PrHoSe
1.0
-4.538 -0.423 -6.116
-7.293 -5.515 5.793
1.724 6.525 -1.730
Pr Se Ho
4 4 4
Cartesian
-4.796 -0.506 3.593 Pr
-0.773 1.516 0.469 Pr
-3.418 2.040 -2.361 Pr
-6.689 -1.453 0.307 Pr
-7.795 -3.467 -1.649 Se
-8.196 -5.276 3.531 Se
-4.037 -2.470 1.325 Se
-3.636 -0.662 -3.854 Se
-8.852 -4.694 0.571 Ho
-5.982 -2.009 -3.371 Ho
-5.850 -3.929 3.047 Ho
-2.980 -1.244 -0.895 Ho
```

**V**: 362.2 Å³ per cell
**Offset from the most stable computed form**: 2.250 kcal/mol of atoms
**Formation energy (no corrections)**: -993 meV/atom

No. 2
Here is a relaxed Nd15Y4Tl crystal from Alexandria via LeMat-Bulk. Energies are from GGA-PBE.

```
Nd15Y4Tl
1.0
-1.424 1.686 4.618
1.349 -4.489 2.055
23.895 9.043 4.067
Nd Y Tl
15 4 1
Cartesian
-0.037 -1.402 3.336 Nd
4.673 0.381 4.138 Nd
9.498 2.207 4.959 Nd
14.323 4.032 5.780 Nd
19.147 5.858 6.601 Nd
1.602 1.718 2.703 Nd
6.423 3.543 3.523 Nd
11.236 5.364 4.342 Nd
16.049 7.186 5.161 Nd
20.870 9.010 5.982 Nd
2.988 -1.369 1.421 Nd
7.809 0.455 2.242 Nd
12.622 2.277 3.061 Nd
17.435 4.098 3.880 Nd
22.256 5.922 4.700 Nd
4.734 1.791 0.806 Y
9.547 3.613 1.625 Y
14.348 5.430 2.442 Y
19.162 7.251 3.261 Y
0.000 0.000 0.000 Tl
```

**Energy of formation**: -0.025 eV per atom
**V**: 677.7 Å³ per cell

No. 3
Here is a relaxed Cs2GaPtBr6 crystal from Alexandria via LeMat-Bulk. Energies are from GGA-PBE.

```
Cs2GaPtBr6
1.0
7.716 0.000 0.000
0.000 7.716 0.000
3.858 3.858 5.503
Cs Ga Br Pt
2 1 6 1
Cartesian
7.716 3.858 2.752 Cs
3.858 7.716 2.752 Cs
3.858 3.858 0.000 Ga
3.858 3.858 2.955 Br
7.716 7.716 2.548 Br
1.880 1.880 0.000 Br
5.835 5.835 0.000 Br
5.835 1.880 0.000 Br
1.880 5.835 0.000 Br
0.000 0.000 0.000 Pt
```

**V**: 327.6 Å³ per cell
**Formation energy (no corrections)**: -967 meV/atom

No. 4
Here is a relaxed LaNd2Pt2 crystal from Alexandria via LeMat-Bulk. Energies are from GGA-PBE.

```
LaNd2Pt2
1.0
4.827 0.501 -0.406
-0.535 4.823 -0.406
-1.884 -2.338 6.327
La Nd Pt
1 2 2
Cartesian
0.000 0.000 0.000 La
-0.152 2.586 2.758 Nd
2.559 0.401 2.758 Nd
2.140 2.654 0.926 Pt
0.268 0.332 4.590 Pt
```

**Energy of formation**: -0.769 eV per atom
**V**: 140.6 Å³ per cell
**Offset from the most stable computed form**: 3.298 kcal/mol of atoms

No. 5
Here is a relaxed TaReH2 crystal from Alexandria via LeMat-Bulk. Energies are from GGA-PBE.

```
TaReH2
1.0
-2.242 -1.009 -2.942
-2.818 2.331 -1.150
0.285 1.846 -3.348
Re H Ta
1 2 1
Cartesian
-2.388 1.584 -3.720 Re
-1.194 0.792 -1.860 H
-3.581 2.376 -5.580 H
0.000 0.000 0.000 Ta
```

**V**: 39.8 Å³ per cell
**Offset from the most stable computed form**: 14.396 kcal/mol of atoms

No. 6
Here is a relaxed Sc2TeS crystal from Alexandria via LeMat-Bulk. Energies are from GGA-PBE.

```
Sc2TeS
1.0
-1.189 -3.617 0.002
0.667 -2.224 -3.018
5.690 -3.873 1.710
Sc Te S
2 1 1
Cartesian
4.497 -3.481 1.158 Sc
1.030 -2.343 -0.448 Sc
2.608 -4.865 -0.642 Te
5.308 -7.756 -0.317 S
```

**V**: 84.7 Å³ per cell
**Offset from the most stable computed form**: 0.000 kcal/mol of atoms
**Formation energy (no corrections)**: -1532 meV/atom

No. 7
Here is a relaxed In2FeAu crystal from Alexandria via LeMat-Bulk. Energies are from GGA-PBE.

```
In2FeAu
1.0
5.395 0.001 0.000
2.350 4.856 0.000
-3.873 -2.428 2.866
Au Fe In
1 1 2
Cartesian
3.873 2.428 0.000 Au
2.698 0.000 1.433 Fe
0.000 0.000 0.000 In
1.175 2.428 1.433 In
```

**Energy of formation**: 0.189 eV per atom
**V**: 75.1 Å³ per cell
**Offset from the most stable computed form**: 2.277 kcal/mol of atoms

No. 8
Here is a relaxed La3Zn4Hg2 crystal from Alexandria via LeMat-Bulk. Energies are from GGA-PBE.

```
La3Zn4Hg2
1.0
4.807 0.000 0.000
-2.403 5.201 -1.915
0.000 -0.734 9.017
La Zn Hg
3 4 2
Cartesian
2.403 1.247 5.407 La
0.000 0.000 0.000 La
0.000 3.220 1.695 La
2.403 2.361 -0.388 Zn
0.000 2.106 7.490 Zn
2.403 4.253 3.775 Zn
0.000 0.214 3.326 Zn
2.403 0.967 2.077 Hg
0.000 3.500 5.024 Hg
```

**Energy of formation**: -0.404 eV per atom
**V**: 218.7 Å³ per cell

No. 9
Here is a relaxed Rb3MgU2Se9 crystal from Alexandria via LeMat-Bulk. Energies are from GGA-PBE.

```
Rb3MgU2Se9
1.0
7.592 0.000 0.000
-3.796 6.575 0.000
0.000 0.000 9.379
Rb Mg U Se
3 1 2 9
Cartesian
0.000 4.383 6.197 Rb
0.000 0.000 0.000 Rb
3.796 2.192 3.182 Rb
0.000 0.000 4.689 Mg
0.000 4.383 1.650 U
3.796 2.192 7.729 U
5.695 1.095 6.284 Se
3.796 4.384 6.284 Se
1.897 1.095 6.284 Se
1.899 5.479 3.095 Se
0.000 2.190 3.095 Se
-1.899 5.479 3.095 Se
3.796 0.000 0.000 Se
-1.898 3.287 0.000 Se
1.898 3.287 0.000 Se
```

**V**: 468.1 Å³ per cell
**Formation energy (no corrections)**: -1071 meV/atom

No. 10
Here is a relaxed Ho6Rh2AuSe3 crystal from Alexandria via LeMat-Bulk. Energies are from GGA-PBE.

```
Ho6Rh2AuSe3
1.0
6.884 -0.001 -0.001
-3.442 5.962 -0.001
-1.149 -1.989 7.091
Ho Rh Au Se
6 2 1 3
Cartesian
3.502 1.875 5.440 Ho
2.231 3.863 1.631 Ho
-1.208 2.097 1.650 Ho
-0.126 3.971 5.440 Ho
0.063 0.109 5.460 Ho
2.420 0.001 1.650 Ho
-0.010 3.981 -0.001 Rh
3.453 1.981 -0.001 Rh
0.000 0.000 0.000 Au
-2.339 3.999 3.545 Se
4.633 -0.028 3.545 Se
1.147 1.986 3.545 Se
```

**V**: 291.0 Å³ per cell
**Formation energy (no corrections)**: -1253 meV/atom

No. 11
Here is a relaxed KPaAlO5 crystal from Alexandria via LeMat-Bulk. Energies are from GGA-PBE.

```
KPaAlO5
1.0
-2.316 4.092 3.927
-4.858 -2.890 -2.360
3.770 -5.568 4.659
K Pa Al O
2 2 2 10
Cartesian
-3.070 -1.960 0.895 K
-0.334 -2.406 5.330 K
1.885 -2.784 2.329 Pa
0.000 0.000 0.000 Pa
-2.167 0.520 3.129 Al
-1.237 -4.887 3.096 Al
-3.755 -3.842 -0.799 O
0.352 -0.524 7.024 O
-2.976 2.106 3.334 O
-0.427 -6.472 2.891 O
-0.805 0.454 4.291 O
-2.599 -4.820 1.934 O
-3.321 -0.822 3.365 O
-0.082 -3.544 2.860 O
-1.593 0.268 1.456 O
-1.810 -4.634 4.769 O
```

**V**: 266.8 Å³ per cell
**Formation energy (no corrections)**: -2743 meV/atom

No. 12
Here is a relaxed PrThMgSc crystal from Alexandria via LeMat-Bulk. Energies are from GGA-PBE.

```
PrThMgSc
1.0
5.485 0.000 0.000
2.742 4.750 0.000
2.742 1.583 4.478
Pr Sc Mg Th
1 1 1 1
Cartesian
2.742 1.583 1.120 Pr
0.000 0.000 0.000 Sc
5.485 3.167 2.239 Mg
8.227 4.750 3.359 Th
```

**Energy of formation**: 0.087 eV per atom
**V**: 116.7 Å³ per cell

No. 13
Here is a relaxed MgTlB3 crystal from Alexandria via LeMat-Bulk. Energies are from GGA-PBE.

```
MgTlB3
1.0
4.590 0.000 0.000
0.000 4.590 0.000
0.000 0.000 4.590
Tl B Mg
1 3 1
Cartesian
0.000 0.000 0.000 Tl
0.000 2.295 0.000 B
0.000 0.000 2.295 B
2.295 0.000 0.000 B
2.295 2.295 2.295 Mg
```

**Energy of formation**: 2.314 eV per atom
**V**: 96.7 Å³ per cell
**Offset from the most stable computed form**: 5.341 kcal/mol of atoms

No. 14
Here is a relaxed SmAlRe crystal from Alexandria via LeMat-Bulk. Energies are from GGA-PBE.

```
SmAlRe
1.0
4.350 0.000 0.000
0.000 5.697 -0.158
0.000 -1.350 5.069
Re Al Sm
2 2 2
Cartesian
1.088 0.059 0.616 Re
3.263 4.287 4.294 Re
1.088 4.315 2.723 Al
3.263 0.031 2.188 Al
1.088 1.516 3.777 Sm
3.263 2.830 1.133 Sm
```

**Energy of formation**: -0.187 eV per atom
**V**: 124.7 Å³ per cell

No. 15
Here is a relaxed NaSn4S5 crystal from Alexandria via LeMat-Bulk. Energies are from GGA-PBE.

```
NaSn4S5
1.0
5.696 0.000 0.000
2.848 6.467 0.000
2.848 0.000 6.467
Na Sn S
1 4 5
Cartesian
0.009 0.000 0.000 Na
5.705 2.531 5.162 Sn
8.553 5.162 3.936 Sn
2.857 1.305 2.531 Sn
5.705 3.936 1.305 Sn
8.546 2.624 5.112 S
5.698 5.112 3.843 S
5.698 1.356 2.624 S
2.850 3.843 1.356 S
2.856 0.000 0.000 S
```

**V**: 238.2 Å³ per cell
**Formation energy (no corrections)**: -539 meV/atom

No. 16
Here is a relaxed TaCuPtRh crystal from Alexandria via LeMat-Bulk. Energies are from GGA-PBE.

```
TaCuPtRh
1.0
3.974 0.001 0.000
-0.001 3.974 0.000
-1.987 -1.988 3.755
Ta Cu Pt Rh
1 1 1 1
Cartesian
0.000 1.987 1.878 Ta
1.987 0.001 1.878 Cu
1.987 1.988 0.000 Pt
0.000 0.000 0.000 Rh
```

**Energy of formation**: -0.559 eV per atom
**V**: 59.3 Å³ per cell
**Offset from the most stable computed form**: 0.000 kcal/mol of atoms

No. 17
Here is a relaxed Tb2NdSmHo crystal from Alexandria via LeMat-Bulk. Energies are from GGA-PBE.

```
Tb2NdSmHo
1.0
7.179 0.000 0.000
0.000 8.436 0.000
0.000 -4.218 5.790
Tb Nd Sm Ho
4 2 2 2
Cartesian
3.589 2.632 0.000 Tb
0.000 5.804 0.000 Tb
3.589 5.804 0.000 Tb
0.000 2.632 0.000 Tb
1.795 4.218 2.641 Nd
5.384 0.000 3.148 Nd
1.795 4.218 5.739 Sm
5.384 0.000 0.050 Sm
5.384 4.218 2.605 Ho
1.795 0.000 3.184 Ho
```

**Energy of formation**: 0.389 eV per atom
**V**: 350.6 Å³ per cell

No. 18
Here is a relaxed BaTlInF2 crystal from Alexandria via LeMat-Bulk. Energies are from GGA-PBE.

```
BaTlInF2
1.0
5.064 0.000 0.000
0.000 6.796 0.000
0.000 0.000 5.064
Tl F Ba In
1 2 1 1
Cartesian
0.000 0.000 0.000 Tl
0.000 0.000 2.532 F
2.532 0.000 0.000 F
0.000 3.398 0.000 Ba
2.532 3.398 2.532 In
```

**V**: 174.3 Å³ per cell
**Formation energy (no corrections)**: -995 meV/atom

No. 19
Here is a relaxed KH3S2O8 crystal from Alexandria via LeMat-Bulk. Energies are from GGA-PBE.

```
KH3S2O8
1.0
7.874 0.037 0.000
-3.494 8.240 0.000
0.000 0.000 11.586
K H S O
4 12 8 32
Cartesian
5.151 3.666 2.950 K
0.975 0.491 8.743 K
-0.772 4.611 8.636 K
3.404 7.785 2.843 K
-1.622 8.160 0.988 H
4.255 4.236 6.781 H
6.002 0.116 10.598 H
0.125 4.041 4.805 H
0.294 5.757 0.804 H
2.338 6.639 6.597 H
4.085 2.519 10.781 H
2.041 1.638 4.989 H
0.661 2.887 1.368 H
5.466 1.270 7.160 H
3.718 5.390 10.218 H
-1.086 7.007 4.425 H
-2.113 6.294 0.017 S
4.745 6.102 5.810 S
6.492 1.982 11.569 S
-0.365 2.175 5.776 S
1.362 4.674 2.392 S
1.270 7.722 8.185 S
3.017 3.603 9.194 S
3.109 0.554 3.401 S
5.013 6.185 10.337 O
-2.381 6.211 4.544 O
-0.634 2.091 1.249 O
6.760 2.066 7.042 O
5.020 5.992 1.220 O
-2.388 6.404 7.013 O
-0.641 2.285 10.366 O
6.767 1.872 4.573 O
-0.818 5.580 11.481 O
3.451 6.816 5.688 O
5.198 2.696 0.105 O
0.929 1.461 5.898 O
-1.799 7.851 0.042 O
4.432 4.545 5.835 O
6.179 0.426 11.543 O
-0.052 3.731 5.751 O
0.173 4.492 3.222 O
2.459 7.905 9.015 O
4.206 3.785 8.364 O
1.920 0.372 2.571 O
2.610 4.928 3.060 O
0.022 7.468 8.852 O
1.770 3.348 8.526 O
4.357 0.809 2.733 O
1.142 5.863 1.427 O
1.491 6.534 7.220 O
3.238 2.414 10.158 O
2.889 1.743 4.365 O
1.543 3.419 1.495 O
4.584 0.739 7.288 O
2.837 4.858 10.091 O
-0.204 7.538 4.298 O
```

**Total DFT energy (no corrections)**: -5.589 eV per atom
**V**: 753.1 Å³ per cell

No. 20
Here is a relaxed Nb2OsCl crystal from Alexandria via LeMat-Bulk. Energies are from GGA-PBE.

```
Nb2OsCl
1.0
6.718 0.000 0.000
0.000 6.718 0.000
3.359 3.359 3.262
Nb Os Cl
4 2 2
Cartesian
4.950 1.680 0.816 Nb
1.769 5.039 0.816 Nb
5.039 5.128 2.447 Nb
8.398 8.309 2.447 Nb
0.000 0.000 0.000 Os
6.718 3.359 1.631 Os
3.359 3.359 0.000 Cl
3.359 6.718 1.631 Cl
```

**V**: 147.2 Å³ per cell
**Offset from the most stable computed form**: 2.188 kcal/mol of atoms
**Formation energy (no corrections)**: 487 meV/atom

No. 21
Here is a relaxed KSr2TlPd crystal from Alexandria via LeMat-Bulk. Energies are from GGA-PBE.

```
KSr2TlPd
1.0
6.017 0.000 0.000
0.000 6.017 0.000
0.000 0.000 5.464
Sr Tl K Pd
2 1 1 1
Cartesian
0.000 3.009 0.000 Sr
3.009 0.000 0.000 Sr
0.000 0.000 2.732 Tl
3.009 3.009 2.732 K
0.000 0.000 0.000 Pd
```

**Energy of formation**: -0.240 eV per atom
**V**: 197.8 Å³ per cell

No. 22
Here is a relaxed LuBe3Co crystal from Alexandria via LeMat-Bulk. Energies are from GGA-PBE.

```
LuBe3Co
1.0
-1.304 -0.818 -3.720
3.763 0.326 -1.391
0.584 -3.928 0.659
Be Lu Co
3 1 1
Cartesian
1.882 0.163 -0.696 Be
0.292 -1.964 0.330 Be
-0.652 -0.409 -1.860 Be
1.522 -2.210 -2.226 Lu
0.000 0.000 0.000 Co
```

**Energy of formation**: -0.072 eV per atom
**V**: 65.2 Å³ per cell